Entry 1:
A geometry-optimized La7Al2Zn2 structure. Source: Alexandria via LeMat-Bulk, functional PBE.

The structure belongs to space group Cmmm (No. 65); the cell edges are 8.197, 11.338 and 7.456 Å and the angles 90.00°, 90.00° and 90.00°. Symmetry generates all atoms from La at (0.000, 0.000, 0.000), La at (0.000, 0.500, 0.273), La at (0.250, 0.250, 0.294), Al at (0.157, 0.000, 0.500) and Zn at (0.000, 0.288, 0.000).

The value obtained for the total moment is 0.00 μB/cell. The value obtained for the calculated total energy is -4.11 eV per atom. The value obtained for the formation energy is -58.1 meV/atom. Its density of states at the Fermi level is 28.15 states/eV/cell.

Entry 2:
A geometry-optimized La2AlZn structure. Source: Alexandria via LeMat-Bulk, functional PBE.

The structure belongs to space group I4/mmm (No. 139); the cell edges are 3.641, 3.641 and 17.620 Å and the angles 90.00°, 90.00° and 90.00°. Symmetry generates all atoms from La at (0.000, 0.000, 0.168), Al at (0.000, 0.000, 0.500) and Zn at (0.000, 0.000, 0.000).

The value obtained for the total moment is 0.00 μB/cell. The value obtained for the calculated total energy is -3.59 eV per atom. The value obtained for the formation energy is 131.8 meV/atom. Its density of states at the Fermi level is 8.41 states/eV/cell.